Density functional theory data (meta-GGA SCAN) for a PBEsol-optimized structure of ZrZnIr2.

Cell: 4.138 4.138 3.558 Å, 90.00 90.00 90.00°
Space group P4/mmm (No. 123)
One atom of each set of equivalent atoms:
Zr  0.000  0.000  0.000 x1
Zn  0.500  0.500  0.000 x1
Ir  0.000  0.500  0.500 x2

Properties
V: 60.9 Å³/cell
crystal system: tetragonal
energy of formation: -0.791 eV/atom
density: 14.74 Mg/m³
size of the total moment: 0.00 μB/cell